Density functional theory data (GGA-PBE) for ErAg3 after structural relaxation.

Output
Formation energy: -0.208 eV per atom
Crystal system: cubic
Spin magnetization: 0.0 Bohr magnetons per cell

CIF file:
```
data_ErAg3
_space_group_name_H-M_alt 'F m -3 m'
_space_group_IT_number 225
_space_group_name_Hall '-F 4 2 3'
_cell_length_a 6.886
_cell_length_b 6.886
_cell_length_c 6.886
_cell_angle_alpha 90.00
_cell_angle_beta 90.00
_cell_angle_gamma 90.00
loop_
_atom_site_label
_atom_site_type_symbol
_atom_site_fract_x
_atom_site_fract_y
_atom_site_fract_z
Er1 Er 0.000 0.000 0.000
Ag1 Ag 0.000 0.000 0.500
Ag2 Ag 0.250 0.250 0.250
```

---

Density functional theory data (GGA-PBE) for Tm5Pb2Au2 after structural relaxation.

Output
Formation energy: -0.612 eV per atom
Crystal system: orthorhombic
Spin magnetization: 0.0 Bohr magnetons per cell

CIF file:
```
data_Tm5Pb2Au2
_space_group_name_H-M_alt 'C m c e'
_space_group_IT_number 64
_space_group_name_Hall '-C 2ac 2'
_cell_length_a 15.188
_cell_length_b 8.395
_cell_length_c 7.578
_cell_angle_alpha 90.00
_cell_angle_beta 90.00
_cell_angle_gamma 90.00
loop_
_atom_site_label
_atom_site_type_symbol
_atom_site_fract_x
_atom_site_fract_y
_atom_site_fract_z
Tm1 Tm 0.000 0.000 0.000
Tm2 Tm 0.123 0.177 0.341
Pb1 Pb 0.212 0.000 0.000
Au1 Au 0.000 0.127 0.636
```

---

Density functional theory data (GGA-PBE) for AlNiPd6 after structural relaxation.

Output
Formation energy: -0.283 eV per atom
Crystal system: orthorhombic
Relative energy among the computed polymorphs: 0 meV per atom
Spin magnetization: 2.6 Bohr magnetons per cell

CIF file:
```
data_AlNiPd6
_space_group_name_H-M_alt 'C m m m'
_space_group_IT_number 65
_space_group_name_Hall '-C 2 2'
_cell_length_a 7.483
_cell_length_b 7.871
_cell_length_c 4.008
_cell_angle_alpha 90.00
_cell_angle_beta 90.00
_cell_angle_gamma 90.00
loop_
_atom_site_label
_atom_site_type_symbol
_atom_site_fract_x
_atom_site_fract_y
_atom_site_fract_z
Al1 Al 0.000 0.000 0.000
Ni1 Ni 0.000 0.500 0.000
Pd1 Pd 0.000 0.287 0.500
Pd2 Pd 0.212 0.000 0.500
Pd3 Pd 0.250 0.250 0.000
```

---

Density functional theory data (GGA-PBE) for PmFe2Si5 after structural relaxation.

Output
Crystal system: orthorhombic
Spin magnetization: 0.0 Bohr magnetons per cell
Energy relative to the elements, uncorrected: -421.2 meV per atom

CIF file:
```
data_PmFe2Si5
_space_group_name_H-M_alt 'I m m m'
_space_group_IT_number 71
_space_group_name_Hall '-I 2 2'
_cell_length_a 3.848
_cell_length_b 6.520
_cell_length_c 9.560
_cell_angle_alpha 90.00
_cell_angle_beta 90.00
_cell_angle_gamma 90.00
loop_
_atom_site_label
_atom_site_type_symbol
_atom_site_fract_x
_atom_site_fract_y
_atom_site_fract_z
Pm1 Pm 0.000 0.000 0.000
Fe1 Fe 0.000 0.500 0.220
Si1 Si 0.000 0.195 0.337
Si2 Si 0.000 0.500 0.000
```

---

Density functional theory data (GGA-PBE) for Nd3GaPb2 after structural relaxation.

Output
Formation energy: -0.532 eV per atom
Crystal system: orthorhombic
Spin magnetization: 0.0 Bohr magnetons per cell

CIF file:
```
data_Nd3GaPb2
_space_group_name_H-M_alt 'P n m a'
_space_group_IT_number 62
_cell_length_a 12.828
_cell_length_b 4.576
_cell_length_c 12.374
_cell_angle_alpha 90.00
_cell_angle_beta 90.00
_cell_angle_gamma 90.00
loop_
_space_group_symop_operation_xyz
'x,y,z'
'-x,-y,-z'
'-x+1/2,-y,z+1/2'
'x+1/2,y,-z+1/2'
'x+1/2,-y+1/2,-z+1/2'
'-x+1/2,y+1/2,z+1/2'
'-x,y+1/2,-z'
'x,-y+1/2,z'
loop_
_atom_site_label
_atom_site_type_symbol
_atom_site_fract_x
_atom_site_fract_y
_atom_site_fract_z
Nd1 Nd 0.053 0.250 0.122
Nd2 Nd 0.122 0.750 0.555
Nd3 Nd 0.224 0.250 0.795
Ga1 Ga 0.131 0.250 0.366
Pb1 Pb 0.004 0.750 0.307
Pb2 Pb 0.187 0.750 0.005
```

---

Density functional theory data (GGA-PBE) for NdSm4Sc3 after structural relaxation.

Output
Formation energy: 0.053 eV per atom
Crystal system: monoclinic
Relative energy among the computed polymorphs: 0 meV per atom
Spin magnetization: 0.0 Bohr magnetons per cell

CIF file:
```
data_NdSm4Sc3
_space_group_name_H-M_alt 'C 1 2/m 1'
_space_group_IT_number 12
_cell_length_a 6.976
_cell_length_b 14.008
_cell_length_c 6.003
_cell_angle_alpha 90.00
_cell_angle_beta 124.83
_cell_angle_gamma 90.00
loop_
_space_group_symop_operation_xyz
'x,y,z'
'-x,-y,-z'
'-x,y,-z'
'x,-y,z'
'x+1/2,y+1/2,z'
'-x+1/2,-y+1/2,-z'
'-x+1/2,y+1/2,-z'
'x+1/2,-y+1/2,z'
loop_
_atom_site_label
_atom_site_type_symbol
_atom_site_fract_x
_atom_site_fract_y
_atom_site_fract_z
Nd1 Nd 0.000 0.000 0.000
Sm1 Sm 0.000 0.254 0.000
Sm2 Sm 0.000 0.374 0.500
Sc1 Sc 0.000 0.120 0.500
Sc2 Sc 0.000 0.500 0.000
```

---

Density functional theory data (GGA-PBE) for LiAc2Hg3 after structural relaxation.

Output
Formation energy: -0.427 eV per atom
Crystal system: orthorhombic
Relative energy among the computed polymorphs: 0 meV per atom
Spin magnetization: 0.0 Bohr magnetons per cell

CIF file:
```
data_LiAc2Hg3
_space_group_name_H-M_alt 'F m m m'
_space_group_IT_number 69
_space_group_name_Hall '-F 2 2'
_cell_length_a 7.667
_cell_length_b 10.196
_cell_length_c 17.612
_cell_angle_alpha 90.00
_cell_angle_beta 90.00
_cell_angle_gamma 90.00
loop_
_atom_site_label
_atom_site_type_symbol
_atom_site_fract_x
_atom_site_fract_y
_atom_site_fract_z
Li1 Li 0.000 0.000 0.166
Ac1 Ac 0.242 0.000 0.500
Ac2 Ac 0.250 0.250 0.250
Hg1 Hg 0.000 0.000 0.326
Hg2 Hg 0.000 0.236 0.087
```

---

Density functional theory data (GGA-PBE) for Ho12Ni3N5 after structural relaxation.

Output
Crystal system: cubic
Spin magnetization: 0.0 Bohr magnetons per cell
Energy relative to the elements, uncorrected: -805.6 meV per atom

CIF file:
```
data_Ho12Ni3N5
_space_group_name_H-M_alt 'I a -3 d'
_space_group_IT_number 230
_space_group_name_Hall '-I 4bd 2c 3'
_cell_length_a 15.017
_cell_length_b 15.017
_cell_length_c 15.017
_cell_angle_alpha 90.00
_cell_angle_beta 90.00
_cell_angle_gamma 90.00
loop_
_atom_site_label
_atom_site_type_symbol
_atom_site_fract_x
_atom_site_fract_y
_atom_site_fract_z
Ho1 Ho 0.031 0.055 0.651
Ni1 Ni 0.000 0.250 0.125
N1 N 0.000 0.000 0.000
N2 N 0.000 0.250 0.375
```

---

Density functional theory data (GGA-PBE) for ZrSeIN2 after structural relaxation.

Output
Crystal system: tetragonal
Relative energy among the computed polymorphs: 0 meV per atom
Spin magnetization: 0.0 Bohr magnetons per cell
Energy relative to the elements, uncorrected: 479.7 meV per atom

CIF file:
```
data_ZrSeIN2
_space_group_name_H-M_alt 'P 4/m m m'
_space_group_IT_number 123
_space_group_name_Hall '-P 4 2'
_cell_length_a 4.192
_cell_length_b 4.192
_cell_length_c 6.011
_cell_angle_alpha 90.00
_cell_angle_beta 90.00
_cell_angle_gamma 90.00
loop_
_atom_site_label
_atom_site_type_symbol
_atom_site_fract_x
_atom_site_fract_y
_atom_site_fract_z
Zr1 Zr 0.000 0.000 0.000
Se1 Se 0.000 0.000 0.500
I1 I 0.500 0.500 0.500
N1 N 0.000 0.500 0.000
```

---

Density functional theory data (GGA-PBE) for TmScPd2 after structural relaxation.

Output
Formation energy: -0.926 eV per atom
Crystal system: orthorhombic
Relative energy among the computed polymorphs: 0 meV per atom
Spin magnetization: 0.0 Bohr magnetons per cell

CIF file:
```
data_TmScPd2
_space_group_name_H-M_alt 'C m c m'
_space_group_IT_number 63
_space_group_name_Hall '-C 2c 2'
_cell_length_a 3.520
_cell_length_b 19.766
_cell_length_c 4.557
_cell_angle_alpha 90.00
_cell_angle_beta 90.00
_cell_angle_gamma 90.00
loop_
_atom_site_label
_atom_site_type_symbol
_atom_site_fract_x
_atom_site_fract_y
_atom_site_fract_z
Tm1 Tm 0.000 0.189 0.250
Sc1 Sc 0.000 0.057 0.750
Pd1 Pd 0.000 0.336 0.250
Pd2 Pd 0.000 0.443 0.750
```

---

Density functional theory data (GGA-PBE) for Sr2CdO after structural relaxation.

Output
Crystal system: tetragonal
Relative energy among the computed polymorphs: 0 meV per atom
Spin magnetization: 0.0 Bohr magnetons per cell
Energy relative to the elements, uncorrected: -1369.6 meV per atom

CIF file:
```
data_Sr2CdO
_space_group_name_H-M_alt 'I -4 2 d'
_space_group_IT_number 122
_space_group_name_Hall 'I -4 2bw'
_cell_length_a 7.325
_cell_length_b 7.325
_cell_length_c 9.301
_cell_angle_alpha 90.00
_cell_angle_beta 90.00
_cell_angle_gamma 90.00
loop_
_atom_site_label
_atom_site_type_symbol
_atom_site_fract_x
_atom_site_fract_y
_atom_site_fract_z
Sr1 Sr 0.136 0.250 0.125
Cd1 Cd 0.000 0.000 0.500
O1 O 0.000 0.000 0.000
```

---

Density functional theory data (GGA-PBE) for Ta2AgMo after structural relaxation.

Output
Formation energy: 0.141 eV per atom
Crystal system: tetragonal
Relative energy among the computed polymorphs: 48 meV per atom
Spin magnetization: 0.0 Bohr magnetons per cell

CIF file:
```
data_Ta2AgMo
_space_group_name_H-M_alt 'P 4/m m m'
_space_group_IT_number 123
_space_group_name_Hall '-P 4 2'
_cell_length_a 3.292
_cell_length_b 3.292
_cell_length_c 6.480
_cell_angle_alpha 90.00
_cell_angle_beta 90.00
_cell_angle_gamma 90.00
loop_
_atom_site_label
_atom_site_type_symbol
_atom_site_fract_x
_atom_site_fract_y
_atom_site_fract_z
Ta1 Ta 0.000 0.000 0.229
Ag1 Ag 0.500 0.500 0.500
Mo1 Mo 0.500 0.500 0.000
```

---

Density functional theory data (GGA-PBE) for Ac2UTiO6 after structural relaxation.

Output
Crystal system: triclinic
Spin magnetization: 4.0 Bohr magnetons per cell
Energy relative to the elements, uncorrected: -3013.2 meV per atom

CIF file:
```
data_Ac2UTiO6
_space_group_name_H-M_alt 'P -1'
_space_group_IT_number 2
_cell_length_a 5.872
_cell_length_b 5.872
_cell_length_c 5.893
_cell_angle_alpha 62.61
_cell_angle_beta 62.58
_cell_angle_gamma 62.59
loop_
_space_group_symop_operation_xyz
'x,y,z'
'-x,-y,-z'
loop_
_atom_site_label
_atom_site_type_symbol
_atom_site_fract_x
_atom_site_fract_y
_atom_site_fract_z
Ac1 Ac 0.242 0.241 0.238
U1 U 0.500 0.500 0.500
Ti1 Ti 0.000 0.000 0.000
O1 O 0.154 0.330 0.773
O2 O 0.236 0.848 0.668
O3 O 0.328 0.765 0.156
```

---

Density functional theory data (GGA-PBE) for Cd8AgPd2 after structural relaxation.

Output
Formation energy: -0.176 eV per atom
Crystal system: orthorhombic
Relative energy among the computed polymorphs: 0 meV per atom
Spin magnetization: 0.0 Bohr magnetons per cell

CIF file:
```
data_Cd8AgPd2
_space_group_name_H-M_alt 'I m m m'
_space_group_IT_number 71
_space_group_name_Hall '-I 2 2'
_cell_length_a 4.475
_cell_length_b 7.899
_cell_length_c 12.559
_cell_angle_alpha 90.00
_cell_angle_beta 90.00
_cell_angle_gamma 90.00
loop_
_atom_site_label
_atom_site_type_symbol
_atom_site_fract_x
_atom_site_fract_y
_atom_site_fract_z
Cd1 Cd 0.000 0.000 0.146
Cd2 Cd 0.000 0.213 0.344
Cd3 Cd 0.000 0.316 0.000
Ag1 Ag 0.000 0.500 0.500
Pd1 Pd 0.000 0.500 0.203
```

---

Density functional theory data (GGA-PBE) for Cd5SiP2O12 after structural relaxation.

Output
Crystal system: orthorhombic
Spin magnetization: 0.0 Bohr magnetons per cell
Energy relative to the elements, uncorrected: -1814.8 meV per atom

CIF file:
```
data_Cd5SiP2O12
_space_group_name_H-M_alt 'P 21 21 21'
_space_group_IT_number 19
_cell_length_a 6.868
_cell_length_b 10.355
_cell_length_c 15.123
_cell_angle_alpha 90.00
_cell_angle_beta 90.00
_cell_angle_gamma 90.00
loop_
_space_group_symop_operation_xyz
'x,y,z'
'-x+1/2,-y,z+1/2'
'x+1/2,-y+1/2,-z'
'-x,y+1/2,-z+1/2'
loop_
_atom_site_label
_atom_site_type_symbol
_atom_site_fract_x
_atom_site_fract_y
_atom_site_fract_z
Cd1 Cd 0.076 0.160 0.362
Cd2 Cd 0.102 0.169 0.647
Cd3 Cd 0.103 0.557 0.335
Cd4 Cd 0.105 0.553 0.654
Cd5 Cd 0.195 0.222 0.992
Si1 Si 0.098 0.860 0.326
P1 P 0.106 0.874 0.686
P2 P 0.241 0.588 0.994
O1 O 0.018 0.615 0.991
O2 O 0.026 0.753 0.402
O3 O 0.065 0.778 0.608
O4 O 0.071 0.468 0.798
O5 O 0.071 0.471 0.193
O6 O 0.149 0.771 0.239
O7 O 0.150 0.793 0.770
O8 O 0.158 0.358 0.410
O9 O 0.178 0.356 0.582
O10 O 0.210 0.559 0.497
O11 O 0.216 0.064 0.873
O12 O 0.226 0.033 0.159
```

---

Density functional theory data (GGA-PBE) for TaFeHN2 after structural relaxation.

Output
Crystal system: tetragonal
Spin magnetization: 0.0 Bohr magnetons per cell
E_tot: -35.16 eV/cell

CIF file:
```
data_TaFeHN2
_space_group_name_H-M_alt 'P 4/m m m'
_space_group_IT_number 123
_space_group_name_Hall '-P 4 2'
_cell_length_a 3.731
_cell_length_b 3.731
_cell_length_c 3.048
_cell_angle_alpha 90.00
_cell_angle_beta 90.00
_cell_angle_gamma 90.00
loop_
_atom_site_label
_atom_site_type_symbol
_atom_site_fract_x
_atom_site_fract_y
_atom_site_fract_z
Ta1 Ta 0.000 0.000 0.000
Fe1 Fe 0.500 0.500 0.000
H1 H 0.000 0.000 0.500
N1 N 0.000 0.500 0.500
```